(1)
Below is crystalline BaLa2YFe at its relaxed geometry, with properties calculated at the PBE-GGA level.

Summary:
For the spin magnetization, the calculation gives 0.00 μB/atom. The energy of formation is 0.55 eV per formula unit. Its space group is P4/mmm. Its crystal system is tetragonal. The calculated volume comes out at 34.4 A^3/atom.

Cell: 5.4817 5.4817 5.7256 Å, 90.00 90.00 90.00°
Last column: nearest neighbours and their distance in Å.
Fractional coordinates of all 5 atoms:
Ba (0.0000, 0.0000, 0.0000)  4 Y 3.88, 8 La 3.96
La (0.0000, 0.5000, 0.5000)  2 Fe 2.74
La (0.5000, 0.0000, 0.5000)  2 Fe 2.74
Y (0.5000, 0.5000, 0.0000)  2 Fe 2.86
Fe (0.5000, 0.5000, 0.5000)  4 La 2.74, 2 Y 2.86


(2)
Below is crystalline Th2CdAs3Rh4 at its relaxed geometry, with properties calculated at the PBE-GGA level.

Summary:
For the spin magnetization, the calculation gives 0.00 μB/atom. The energy of formation is -8.37 eV per formula unit. Its space group is P-4m2. Its crystal system is tetragonal. The calculated volume comes out at 19.1 A^3/atom.

Cell: 4.0886 4.0886 11.4005 Å, 90.00 90.00 90.00°
Last column: nearest neighbours and their distance in Å.
Fractional coordinates of all 10 atoms:
Th (0.0000, 0.5000, 0.2395)  8 Rh 3.10-3.41, 4 As 3.16
Th (0.5000, 0.0000, 0.7605)  8 Rh 3.10-3.41, 4 As 3.16
Cd (0.0000, 0.0000, 0.5000)  4 Rh 2.76, 4 As 2.89
As (0.0000, 0.5000, 0.8735)  5 Rh 2.40-2.50
As (0.5000, 0.0000, 0.1265)  5 Rh 2.40-2.50
As (0.5000, 0.5000, 0.5000)  4 Rh 2.76, 4 Cd 2.89
Rh (0.0000, 0.0000, 0.0000)  4 As 2.50
Rh (0.0000, 0.5000, 0.6632)  1 As 2.40
Rh (0.5000, 0.0000, 0.3368)  1 As 2.40
Rh (0.5000, 0.5000, 0.0000)  4 As 2.50


(3)
Below is crystalline Pm2ErTm9 at its relaxed geometry, with properties calculated at the PBE-GGA level.

Summary:
For the spin magnetization, the calculation gives 0.00 μB/atom. The energy of formation is 0.89 eV per formula unit. Its space group is P6/mmm. Its crystal system is hexagonal. The calculated volume comes out at 30.9 A^3/atom.

Cell: 11.1154 11.1154 3.4708 Å, 90.00 90.00 120.00°
Last column: nearest neighbours and their distance in Å.
Fractional coordinates of all 12 atoms:
Pm (0.3333, 0.6667, 0.0000)  9 Tm 3.21-3.52, 2 Pm 3.47
Pm (0.6667, 0.3333, 0.0000)  9 Tm 3.21-3.52, 2 Pm 3.47
Er (0.0000, 0.0000, 0.0000)  2 Er 3.47, 12 Tm 3.78
Tm (0.0000, 0.5000, 0.0000)  2 Pm 3.21, 10 Tm 3.47-3.58
Tm (0.1744, 0.3489, 0.5000)  8 Tm 3.36-3.58, 2 Pm 3.52
Tm (0.1744, 0.8256, 0.5000)  8 Tm 3.36-3.58, 2 Pm 3.52
Tm (0.3489, 0.1744, 0.5000)  8 Tm 3.36-3.58, 2 Pm 3.52
Tm (0.5000, 0.0000, 0.0000)  2 Pm 3.21, 10 Tm 3.47-3.58
Tm (0.5000, 0.5000, 0.0000)  2 Pm 3.21, 10 Tm 3.47-3.58
Tm (0.6511, 0.8256, 0.5000)  8 Tm 3.36-3.58, 2 Pm 3.52
Tm (0.8256, 0.1744, 0.5000)  8 Tm 3.36-3.58, 2 Pm 3.52
Tm (0.8256, 0.6511, 0.5000)  8 Tm 3.36-3.58, 2 Pm 3.52


(4)
Below is crystalline LaMn3Mo at its relaxed geometry, with properties calculated at the PBE-GGA level.

Summary:
For the spin magnetization, the calculation gives 1.66 μB/atom. The energy of formation is 3.45 eV per formula unit. Its space group is Pm-3m. Its crystal system is cubic. The calculated volume comes out at 21.3 A^3/atom.

Cell: 4.7376 4.7376 4.7376 Å, 90.00 90.00 90.00°
Last column: nearest neighbours and their distance in Å.
Fractional coordinates of all 5 atoms:
La (0.0000, 0.0000, 0.0000)  12 Mn 3.35
Mn (0.0000, 0.5000, 0.5000)  2 Mo 2.37
Mn (0.5000, 0.0000, 0.5000)  2 Mo 2.37
Mn (0.5000, 0.5000, 0.0000)  2 Mo 2.37
Mo (0.5000, 0.5000, 0.5000)  6 Mn 2.37